Compound: BaLa7
Source: the Alexandria database
Functional: PBE
Structure: relaxed

Values from the calculation:
Its symmetry is Fm-3m, No. 225.

Cell: 7.592 7.592 7.592 Å, 60.00 60.00 60.00°
Sites, in units of the cell vectors:
Ba  0.000  0.000  0.000
La  0.500  0.500  0.000
La  0.000  0.500  0.000
La  0.000  0.500  0.500
La  0.500  0.500  0.500
La  0.500  0.000  0.000
La  0.000  0.000  0.500
La  0.500  0.000  0.500

=====

Compound: BaLiLa
Source: the Alexandria database
Functional: PBE
Structure: relaxed

Values from the calculation:
Its symmetry is P3m1, No. 156.

Cell: 3.868 3.868 9.126 Å, 90.00 90.00 120.00°
Sites, in units of the cell vectors:
Ba  0.000  0.000  0.987
Li  0.333  0.667  0.655
La  0.667  0.333  0.358

=====

What are the density of states at the Fermi level values for these records? In order: 1.908 1.285 states/eV/atom.
What are the total magnetic moment values for these records? In order: 0.0 0.0 μB/cell.
What are the formation energy from the elements values for these records? In order: 0.09 0.21 eV/atom.